Computed, not measured: a geometry-optimized Ac4Sb2BrN2 structure at the PBE level of DFT.

Cell: 8.895 8.895 8.332 Å, 110.40 110.40 26.83°
Atoms (fractional coordinates):
Ac  0.046  0.046  0.242
Ac  0.285  0.285  0.341
Ac  0.715  0.715  0.659
Ac  0.954  0.954  0.758
Sb  0.369  0.369  0.986
Sb  0.631  0.631  0.014
Br  0.500  0.500  0.500
N  0.172  0.172  0.472
N  0.828  0.828  0.528

## Properties
SG   C2/m, No. 12
Total magnetic moment   0.0 Bohr magnetons per cell
Formation energy without anion corrections   -1221 meV per atom